A geometry-optimized Li4Mn3Fe3W2O16 structure. Source: Alexandria via LeMat-Bulk, functional GGA+U.

Cell and atoms, written as POSCAR:
```
Li4Mn3Fe3W2O16
1.0
6.020 0.002 -0.063
3.010 5.139 -0.150
0.045 -0.021 9.796
Li Mn Fe W O
4 3 3 2 16
direct
0.676 0.648 0.910 Li
0.999 0.006 0.988 Li
0.002 0.000 0.487 Li
0.329 0.335 0.409 Li
0.829 0.347 0.214 Mn
0.661 0.168 0.712 Mn
0.171 0.165 0.714 Mn
0.831 0.835 0.211 Fe
0.340 0.836 0.215 Fe
0.169 0.658 0.714 Fe
0.663 0.672 0.485 W
0.344 0.325 0.987 W
0.823 0.835 0.587 O
0.504 0.964 0.356 O
0.666 0.659 0.113 O
0.999 0.014 0.300 O
0.989 0.018 0.799 O
0.338 0.833 0.589 O
0.956 0.513 0.354 O
0.516 0.522 0.344 O
0.183 0.661 0.079 O
0.814 0.354 0.581 O
0.488 0.467 0.847 O
0.047 0.464 0.850 O
0.342 0.310 0.616 O
0.656 0.189 0.088 O
0.491 0.022 0.864 O
0.172 0.181 0.095 O
```

Computed properties:
Raw total energy   -6.734 eV per atom